No. 1
A relaxed Ba2CuSn4Ir3 crystal. Source: the Alexandria database, functional GGA-PBE.

Output
* final energy: -5.43 eV per atom
* density of states at the Fermi level: 7.3 states/eV per cell

a b c (Å): 4.748 4.748 10.697
angles (deg): 90.00 90.00 90.00
Element x y z (fractional)
1 Ba 0.000 0.500 0.244
2 Ba 0.500 0.000 0.756
3 Cu 0.500 0.500 0.000
4 Sn 0.000 0.000 0.500
5 Sn 0.000 0.500 0.879
6 Sn 0.500 0.000 0.121
7 Sn 0.500 0.500 0.500
8 Ir 0.000 0.000 0.000
9 Ir 0.000 0.500 0.626
10 Ir 0.500 0.000 0.374



No. 2
A relaxed Ba2TaCuIr crystal. Source: the Alexandria database, functional GGA-PBE.

Output
* final energy: -4.48 eV per atom
* density of states at the Fermi level: 7.9 states/eV per cell

a b c (Å): 5.816 5.816 4.797
angles (deg): 90.00 90.00 90.00
Element x y z (fractional)
1 Ba 0.000 0.500 0.000
2 Ba 0.500 0.000 0.000
3 Ta 0.000 0.000 0.500
4 Cu 0.000 0.000 0.000
5 Ir 0.500 0.500 0.500